# 1
KCaLaFeO6 after structural relaxation, computed with GGA+U.

a b c (Å): 5.745 5.745 5.745
angles (deg): 60.00 60.00 60.00
Fractional coordinates of all 10 atoms:
K 0.000 0.000 0.000
Ca 0.750 0.750 0.750
La 0.500 0.500 0.500
Fe 0.250 0.250 0.250
O 0.022 0.022 0.478
O 0.022 0.478 0.022
O 0.022 0.478 0.478
O 0.478 0.022 0.022
O 0.478 0.022 0.478
O 0.478 0.478 0.022

---

# 2
KCa2FeO after structural relaxation, computed with GGA+U.

a b c (Å): 4.759 4.759 5.646
angles (deg): 90.00 90.00 90.00
Fractional coordinates of all 5 atoms:
K 0.000 0.000 0.000
Ca 0.000 0.500 0.500
Ca 0.500 0.000 0.500
Fe 0.500 0.500 0.000
O 0.000 0.000 0.500

---

# 3
KCaSmFeO6 after structural relaxation, computed with GGA+U.

a b c (Å): 5.822 5.822 5.822
angles (deg): 60.00 60.00 60.00
Fractional coordinates of all 10 atoms:
K 0.000 0.000 0.000
Ca 0.500 0.500 0.500
Sm 0.250 0.250 0.250
Fe 0.750 0.750 0.750
O 0.524 0.524 0.976
O 0.524 0.976 0.524
O 0.524 0.976 0.976
O 0.976 0.524 0.524
O 0.976 0.524 0.976
O 0.976 0.976 0.524

---

Looking at E_tot for the records above, in order, we have -61.875, -18.789, -61.263 eV/cell.